## ScOs4 (PBE)

Data for a relaxed structure of ScOs4.

Cell lengths 4.4942, 4.4942, 4.4942 Å; angles 90.00, 90.00, 90.00 degrees
Atoms (fractional coordinates):
Sc 0.0000 0.0000 0.0000
Os 0.0000 0.0000 0.5000
Os 0.0000 0.5000 0.0000
Os 0.5000 0.0000 0.0000
Os 0.5000 0.5000 0.5000

Values from the calculation:
Density of states at the Fermi level   8.65 states/eV/f.u.
Energy of formation   2.64 eV/atom
DFT total energy   -38.06 eV/cell
Space-group type   Pm-3m, No. 221
Excess energy over the best structure of this formula in the dataset   2556 meV per atom
Density   14.74 g cm⁻³

***

## GeSb2Au (PBE)

Data for a relaxed structure of GeSb2Au.

Cell lengths 6.3162, 6.3162, 12.1982 Å; angles 90.00, 90.00, 90.00 degrees
Atoms (fractional coordinates):
Ge 0.0000 0.0000 0.0000
Ge 0.0000 0.5000 0.2500
Ge 0.5000 0.0000 0.7500
Ge 0.5000 0.5000 0.5000
Sb 0.2474 0.2500 0.6250
Sb 0.2500 0.7474 0.8750
Sb 0.2500 0.7526 0.3750
Sb 0.2526 0.2500 0.1250
Sb 0.7474 0.7500 0.1250
Sb 0.7500 0.2474 0.3750
Sb 0.7500 0.2526 0.8750
Sb 0.7526 0.7500 0.6250
Au 0.0000 0.0000 0.5000
Au 0.0000 0.5000 0.7500
Au 0.5000 0.0000 0.2500
Au 0.5000 0.5000 0.0000

Values from the calculation:
Density of states at the Fermi level   1.84 states/eV/f.u.
DFT total energy   -64.06 eV/cell
Space-group type   I-42d, No. 122
Excess energy over the best structure of this formula in the dataset   0 meV per atom
Formation energy from raw total energies   0.12 eV/f.u.
Density   7.00 g cm⁻³

***

## La2ZnAuC (PBE)

Data for a relaxed structure of La2ZnAuC.

Cell lengths 5.3598, 5.3598, 3.9350 Å; angles 90.00, 90.00, 90.00 degrees
Atoms (fractional coordinates):
La 0.0000 0.5000 0.0000
La 0.5000 0.0000 0.0000
Zn 0.0000 0.0000 0.5000
Au 0.5000 0.5000 0.5000
C 0.0000 0.0000 0.0000

Values from the calculation:
Density of states at the Fermi level   4.72 states/eV/f.u.
Energy of formation   -0.30 eV/atom
DFT total energy   -25.13 eV/cell
Space-group type   P4/mmm, No. 123
Excess energy over the best structure of this formula in the dataset   0 meV per atom
Density   8.11 g cm⁻³

***

## CrGe2Pd (PBE)

Data for a relaxed structure of CrGe2Pd.

Cell lengths 6.6866, 6.6866, 5.7971 Å; angles 90.00, 90.00, 90.00 degrees
Atoms (fractional coordinates):
Cr 0.0000 0.0000 0.0000
Cr 0.0000 0.5000 0.2500
Cr 0.5000 0.0000 0.7500
Cr 0.5000 0.5000 0.5000
Ge 0.2460 0.2500 0.1250
Ge 0.2500 0.7460 0.3750
Ge 0.2500 0.7540 0.8750
Ge 0.2540 0.2500 0.6250
Ge 0.7460 0.7500 0.6250
Ge 0.7500 0.2460 0.8750
Ge 0.7500 0.2540 0.3750
Ge 0.7540 0.7500 0.1250
Pd 0.0000 0.0000 0.5000
Pd 0.0000 0.5000 0.7500
Pd 0.5000 0.0000 0.2500
Pd 0.5000 0.5000 0.0000

Values from the calculation:
Density of states at the Fermi level   3.21 states/eV/f.u.
Energy of formation   0.35 eV/atom
DFT total energy   -90.62 eV/cell
Space-group type   I-42d, No. 122
Excess energy over the best structure of this formula in the dataset   281 meV per atom
Density   7.78 g cm⁻³

***

## TaAg2Se (PBE)

Data for a relaxed structure of TaAg2Se.

Cell lengths 9.6025, 3.1338, 5.6444 Å; angles 90.00, 115.08, 90.00 degrees
Atoms (fractional coordinates):
Ta 0.0000 0.0000 0.0000
Ta 0.5000 0.5000 0.0000
Ag 0.2609 0.0000 0.5916
Ag 0.4941 0.0000 0.4378
Ag 0.7609 0.5000 0.5916
Ag 0.9941 0.5000 0.4378
Se 0.2111 0.5000 0.0101
Se 0.7111 0.0000 0.0101

Values from the calculation:
Density of states at the Fermi level   2.17 states/eV/f.u.
DFT total energy   -40.73 eV/cell
Space-group type   Cm, No. 8
Formation energy from raw total energies   0.68 eV/f.u.
Density   10.27 g cm⁻³

***

## YRe2Pt (PBE)

Data for a relaxed structure of YRe2Pt.

Cell lengths 2.8086, 2.8086, 8.8053 Å; angles 90.00, 90.00, 90.00 degrees
Atoms (fractional coordinates):
Y 0.0000 0.0000 0.0000
Re 0.5000 0.5000 0.2771
Re 0.5000 0.5000 0.7229
Pt 0.0000 0.0000 0.5000

Values from the calculation:
Density of states at the Fermi level   2.78 states/eV/f.u.
Energy of formation   0.29 eV/atom
DFT total energy   -36.26 eV/cell
Space-group type   P4/mmm, No. 123
Excess energy over the best structure of this formula in the dataset   418 meV per atom
Density   15.69 g cm⁻³

***

## K2Pm2SnSe6 (PBE)

Data for a relaxed structure of K2Pm2SnSe6.

Cell lengths 7.2434, 7.2434, 8.2879 Å; angles 98.51, 98.51, 119.59 degrees
Atoms (fractional coordinates):
K 0.1700 0.8300 0.0000
K 0.8300 0.1700 0.0000
Pm 0.3315 0.6685 0.5000
Pm 0.6685 0.3315 0.5000
Sn 0.0000 0.0000 0.5000
Se 0.0699 0.3857 0.7032
Se 0.2408 0.2408 0.3017
Se 0.3857 0.0699 0.7032
Se 0.6143 0.9301 0.2968
Se 0.7592 0.7592 0.6983
Se 0.9301 0.6143 0.2968

Values from the calculation:
DFT total energy   -51.20 eV/cell
Space-group type   C2/m, No. 12
Formation energy from raw total energies   -14.59 eV/f.u.
Density   4.41 g cm⁻³

***

## CePaBi2 (PBE)

Data for a relaxed structure of CePaBi2.

Cell lengths 7.7740, 7.7740, 7.7740 Å; angles 90.00, 90.00, 90.00 degrees
Atoms (fractional coordinates):
Ce 0.0000 0.0000 0.0000
Ce 0.0000 0.5000 0.5000
Ce 0.5000 0.0000 0.5000
Ce 0.5000 0.5000 0.0000
Pa 0.0000 0.0000 0.5000
Pa 0.0000 0.5000 0.0000
Pa 0.5000 0.0000 0.0000
Pa 0.5000 0.5000 0.5000
Bi 0.2500 0.2500 0.2500
Bi 0.2500 0.2500 0.7500
Bi 0.2500 0.7500 0.2500
Bi 0.2500 0.7500 0.7500
Bi 0.7500 0.2500 0.2500
Bi 0.7500 0.2500 0.7500
Bi 0.7500 0.7500 0.2500
Bi 0.7500 0.7500 0.7500

Values from the calculation:
Density of states at the Fermi level   9.53 states/eV/f.u.
Energy of formation   -0.35 eV/atom
DFT total energy   -98.39 eV/cell
Space-group type   Fm-3m, No. 225
Excess energy over the best structure of this formula in the dataset   16 meV per atom
Density   11.16 g cm⁻³

***

## PtAuNF2 (PBE)

Data for a relaxed structure of PtAuNF2.

Cell lengths 4.5333, 4.5333, 3.6724 Å; angles 90.00, 90.00, 90.00 degrees
Atoms (fractional coordinates):
Pt 0.0000 0.0000 0.0000
Au 0.5000 0.5000 0.5000
N 0.0000 0.0000 0.5000
F 0.0000 0.5000 0.0000
F 0.5000 0.0000 0.0000

Values from the calculation:
Density of states at the Fermi level   1.14 states/eV/f.u.
DFT total energy   -20.57 eV/cell
Space-group type   P4/mmm, No. 123
Excess energy over the best structure of this formula in the dataset   0 meV per atom
Formation energy from raw total energies   0.82 eV/f.u.
Density   9.77 g cm⁻³

***

## Tb4Pm2Mg5 (PBE)

Data for a relaxed structure of Tb4Pm2Mg5.

Cell lengths 12.1602, 11.4818, 5.9666 Å; angles 81.79, 69.15, 29.05 degrees
Atoms (fractional coordinates):
Tb 0.0405 0.7071 0.2929
Tb 0.2929 0.9595 0.0405
Tb 0.7071 0.0405 0.9595
Tb 0.9595 0.2929 0.7071
Pm 0.3833 0.3833 0.6167
Pm 0.6167 0.6167 0.3833
Mg 0.0000 0.0000 0.0000
Mg 0.0000 0.0000 0.5000
Mg 0.2500 0.2500 0.2500
Mg 0.5000 0.5000 0.0000
Mg 0.7500 0.7500 0.7500

Values from the calculation:
Density of states at the Fermi level   10.88 states/eV/f.u.
Energy of formation   0.20 eV/atom
DFT total energy   -33.76 eV/cell
Space-group type   Fmmm, No. 69
Density   4.95 g cm⁻³

***

## Rb2TiBS4 (PBE)

Data for a relaxed structure of Rb2TiBS4.

Cell lengths 13.7742, 12.3474, 7.3016 Å; angles 84.90, 63.24, 31.87 degrees
Atoms (fractional coordinates):
Rb 0.0518 0.0518 0.6982
Rb 0.3018 0.3018 0.9482
Rb 0.6982 0.6982 0.0518
Rb 0.9482 0.9482 0.3018
Ti 0.1250 0.1250 0.1250
Ti 0.8750 0.8750 0.8750
B 0.3750 0.3750 0.3750
B 0.6250 0.6250 0.6250
S 0.0420 0.6149 0.5399
S 0.3032 0.5399 0.6149
S 0.3851 0.9580 0.6968
S 0.4601 0.6968 0.9580
S 0.5399 0.3032 0.0420
S 0.6149 0.0420 0.3032
S 0.6968 0.4601 0.3851
S 0.9580 0.3851 0.4601

Values from the calculation:
Density of states at the Fermi level   1.69 states/eV/f.u.
DFT total energy   -82.06 eV/cell
Space-group type   Fddd, No. 70
Formation energy from raw total energies   -8.01 eV/f.u.
Density   2.59 g cm⁻³

***

## BaSbPb2 (PBE)

Data for a relaxed structure of BaSbPb2.

Cell lengths 5.0263, 5.0263, 5.2734 Å; angles 90.00, 90.00, 90.00 degrees
Atoms (fractional coordinates):
Ba 0.0000 0.0000 0.0000
Sb 0.5000 0.5000 0.0000
Pb 0.0000 0.5000 0.5000
Pb 0.5000 0.0000 0.5000

Values from the calculation:
Density of states at the Fermi level   2.25 states/eV/f.u.
DFT total energy   -15.12 eV/cell
Space-group type   P4/mmm, No. 123
Formation energy from raw total energies   -1.66 eV/f.u.
Density   8.39 g cm⁻³